(1)
# Ce3YTl3S8, optimized geometry, DFT GGA-PBE
data_Ce3YTl3S8
_space_group_name_H-M_alt 'P 1'
_space_group_IT_number 1
_cell_length_a 8.258
_cell_length_b 8.257
_cell_length_c 8.873
_cell_angle_alpha 117.74
_cell_angle_beta 90.01
_cell_angle_gamma 120.00
loop_
_space_group_symop_operation_xyz
'x,y,z'
loop_
_atom_site_label
_atom_site_fract_x
_atom_site_fract_y
_atom_site_fract_z
_atom_site_occupancy
Ce1 0.500 0.000 0.500 1
Ce2 0.500 0.500 0.500 1
Ce3 0.000 0.500 0.500 1
Y1 0.000 0.000 0.500 1
Tl1 0.000 0.000 0.000 1
Tl2 0.000 0.500 0.000 1
Tl3 0.500 0.500 0.000 1
S1 0.266 0.532 0.298 1
S2 0.734 0.468 0.702 1
S3 0.771 0.541 0.305 1
S4 0.229 0.459 0.695 1
S5 0.771 0.034 0.305 1
S6 0.229 0.966 0.695 1
S7 0.264 0.034 0.305 1
S8 0.736 0.966 0.695 1
# N(E_F)	0.948	states/eV per atom
# formation energy (no corrections)	-1.5194	eV/atom
# symmetry	R-3m
# calculated total energy	-5.81	eV per atom

***

(2)
# CaY3P, optimized geometry, DFT GGA-PBE
data_CaY3P
_space_group_name_H-M_alt 'P 1'
_space_group_IT_number 1
_cell_length_a 5.449
_cell_length_b 5.449
_cell_length_c 5.449
_cell_angle_alpha 90.00
_cell_angle_beta 90.00
_cell_angle_gamma 90.00
loop_
_space_group_symop_operation_xyz
'x,y,z'
loop_
_atom_site_label
_atom_site_fract_x
_atom_site_fract_y
_atom_site_fract_z
_atom_site_occupancy
Y1 0.000 0.500 0.000 1
Y2 0.000 0.000 0.500 1
Y3 0.500 0.000 0.000 1
P1 0.000 0.000 0.000 1
Ca1 0.500 0.500 0.500 1
# N(E_F)	1.878	states/eV per atom
# ΔH_f (0 K)	-0.49	eV per atom
# symmetry	Pm-3m
# calculated total energy	-5.85	eV per atom
# offset from the most stable computed form	0.0	meV per atom

***

(3)
# SrSnPt2, optimized geometry, DFT GGA-PBE
data_SrSnPt2
_space_group_name_H-M_alt 'P 1'
_space_group_IT_number 1
_cell_length_a 5.155
_cell_length_b 5.155
_cell_length_c 9.646
_cell_angle_alpha 74.50
_cell_angle_beta 74.50
_cell_angle_gamma 90.00
loop_
_space_group_symop_operation_xyz
'x,y,z'
loop_
_atom_site_label
_atom_site_fract_x
_atom_site_fract_y
_atom_site_fract_z
_atom_site_occupancy
Sr1 0.500 0.500 0.000 1
Sr2 0.250 0.750 0.500 1
Sn1 0.000 0.000 0.000 1
Sn2 0.750 0.250 0.500 1
Pt1 0.827 0.125 0.250 1
Pt2 0.923 0.625 0.250 1
Pt3 0.375 0.173 0.750 1
Pt4 0.875 0.077 0.750 1
# N(E_F)	1.129	states/eV per atom
# ΔH_f (0 K)	-0.46	eV per atom
# symmetry	I-42d
# calculated total energy	-4.90	eV per atom